Entry 1:
# Si7Ni12Pt2 (PBE, relaxed)
data_Si7Ni12Pt2
_cell_length_a 9.983
_cell_length_b 9.983
_cell_length_c 2.830
_cell_angle_alpha 90.00
_cell_angle_beta 90.00
_cell_angle_gamma 120.00
_space_group_name_H-M_alt 'P 1'
_space_group_IT_number 1
loop_
_space_group_symop_operation_xyz
'x,y,z'
loop_
_atom_site_label
_atom_site_type_symbol
_atom_site_fract_x
_atom_site_fract_y
_atom_site_fract_z
Si1 Si 0.000 0.000 0.000
Si2 Si 0.132 0.709 0.500
Si3 Si 0.291 0.422 0.500
Si4 Si 0.421 0.131 0.000
Si5 Si 0.578 0.868 0.500
Si6 Si 0.709 0.579 0.000
Si7 Si 0.869 0.291 0.000
Ni1 Ni 0.073 0.455 0.500
Ni2 Ni 0.091 0.258 0.000
Ni3 Ni 0.167 0.909 0.000
Ni4 Ni 0.233 0.151 0.500
Ni5 Ni 0.383 0.927 0.500
Ni6 Ni 0.449 0.374 0.000
Ni7 Ni 0.545 0.617 0.500
Ni8 Ni 0.626 0.075 0.000
Ni9 Ni 0.742 0.833 0.000
Ni10 Ni 0.849 0.083 0.500
Ni11 Ni 0.917 0.767 0.500
Ni12 Ni 0.925 0.551 0.000
Pt1 Pt 0.333 0.667 0.000
Pt2 Pt 0.667 0.333 0.500
# Mass density (g/cm3): 8.8
# M_tot (μB/f.u.): 0.000
# Uncorrected formation energy (eV/atom): -0.535

Entry 2:
# TaTcRu2 (PBE, relaxed)
data_TaTcRu2
_cell_length_a 4.804
_cell_length_b 4.804
_cell_length_c 4.765
_cell_angle_alpha 99.81
_cell_angle_beta 99.81
_cell_angle_gamma 34.10
_space_group_name_H-M_alt 'P 1'
_space_group_IT_number 1
loop_
_space_group_symop_operation_xyz
'x,y,z'
loop_
_atom_site_label
_atom_site_type_symbol
_atom_site_fract_x
_atom_site_fract_y
_atom_site_fract_z
Ta1 Ta 0.000 0.000 0.000
Tc1 Tc 0.237 0.237 0.713
Ru1 Ru 0.496 0.496 0.502
Ru2 Ru 0.756 0.756 0.243
# Energy above the most stable polymorph in this dataset (meV/atom): 61
# Mass density (g/cm3): 13.2
# Formation energy from the elements (eV/atom): -0.064
# M_tot (μB/f.u.): 0.000

Entry 3:
# Zn2HRh2 (PBE, relaxed)
data_Zn2HRh2
_cell_length_a 5.373
_cell_length_b 5.373
_cell_length_c 4.319
_cell_angle_alpha 90.00
_cell_angle_beta 90.00
_cell_angle_gamma 90.00
_space_group_name_H-M_alt 'P 1'
_space_group_IT_number 1
loop_
_space_group_symop_operation_xyz
'x,y,z'
loop_
_atom_site_label
_atom_site_type_symbol
_atom_site_fract_x
_atom_site_fract_y
_atom_site_fract_z
Zn1 Zn 0.159 0.341 0.000
Zn2 Zn 0.341 0.841 0.000
Zn3 Zn 0.659 0.159 0.000
Zn4 Zn 0.841 0.659 0.000
H1 H 0.000 0.000 0.500
H2 H 0.500 0.500 0.500
Rh1 Rh 0.176 0.676 0.500
Rh2 Rh 0.324 0.176 0.500
Rh3 Rh 0.676 0.824 0.500
Rh4 Rh 0.824 0.324 0.500
# Energy above the most stable polymorph in this dataset (meV/atom): 43
# Mass density (g/cm3): 9.0
# M_tot (μB/f.u.): 0.000

Entry 4:
# ErBeZn6Cu (PBE, relaxed)
data_ErBeZn6Cu
_cell_length_a 7.587
_cell_length_b 7.587
_cell_length_c 7.587
_cell_angle_alpha 127.96
_cell_angle_beta 114.05
_cell_angle_gamma 88.71
_space_group_name_H-M_alt 'P 1'
_space_group_IT_number 1
loop_
_space_group_symop_operation_xyz
'x,y,z'
loop_
_atom_site_label
_atom_site_type_symbol
_atom_site_fract_x
_atom_site_fract_y
_atom_site_fract_z
Er1 Er 0.449 0.199 0.250
Er2 Er 0.551 0.801 0.750
Be1 Be 0.000 0.000 0.000
Be2 Be 0.500 0.000 0.500
Zn1 Zn 0.123 0.422 0.298
Zn2 Zn 0.123 0.825 0.701
Zn3 Zn 0.170 0.920 0.250
Zn4 Zn 0.253 0.503 0.750
Zn5 Zn 0.376 0.175 0.798
Zn6 Zn 0.376 0.578 0.201
Zn7 Zn 0.624 0.422 0.799
Zn8 Zn 0.624 0.825 0.202
Zn9 Zn 0.747 0.497 0.250
Zn10 Zn 0.830 0.080 0.750
Zn11 Zn 0.877 0.175 0.299
Zn12 Zn 0.877 0.578 0.702
Cu1 Cu 0.000 0.000 0.500
Cu2 Cu 0.000 0.500 0.000
# Mass density (g/cm3): 7.0
# Formation energy from the elements (eV/atom): 0.057
# M_tot (μB/f.u.): 0.000

Entry 5:
# CeGa2Ir2Pt (PBE, relaxed)
data_CeGa2Ir2Pt
_cell_length_a 4.707
_cell_length_b 4.707
_cell_length_c 5.439
_cell_angle_alpha 90.00
_cell_angle_beta 90.00
_cell_angle_gamma 90.00
_space_group_name_H-M_alt 'P 1'
_space_group_IT_number 1
loop_
_space_group_symop_operation_xyz
'x,y,z'
loop_
_atom_site_label
_atom_site_type_symbol
_atom_site_fract_x
_atom_site_fract_y
_atom_site_fract_z
Ce1 Ce 0.000 0.000 0.000
Ga1 Ga 0.000 0.500 0.500
Ga2 Ga 0.500 0.000 0.500
Ir1 Ir 0.500 0.500 0.235
Ir2 Ir 0.500 0.500 0.765
Pt1 Pt 0.000 0.000 0.500
# Mass density (g/cm3): 11.8
# Formation energy from the elements (eV/atom): -0.179
# M_tot (μB/f.u.): 0.257

Entry 6:
# Ni8GeP2 (PBE, relaxed)
data_Ni8GeP2
_cell_length_a 6.572
_cell_length_b 6.572
_cell_length_c 6.572
_cell_angle_alpha 148.38
_cell_angle_beta 122.34
_cell_angle_gamma 67.26
_space_group_name_H-M_alt 'P 1'
_space_group_IT_number 1
loop_
_space_group_symop_operation_xyz
'x,y,z'
loop_
_atom_site_label
_atom_site_type_symbol
_atom_site_fract_x
_atom_site_fract_y
_atom_site_fract_z
Ni1 Ni 0.115 0.332 0.782
Ni2 Ni 0.145 0.145 0.000
Ni3 Ni 0.306 0.000 0.306
Ni4 Ni 0.450 0.668 0.782
Ni5 Ni 0.550 0.332 0.218
Ni6 Ni 0.694 0.000 0.694
Ni7 Ni 0.855 0.855 0.000
Ni8 Ni 0.885 0.668 0.218
Ge1 Ge 0.000 0.500 0.500
P1 P 0.321 0.821 0.500
P2 P 0.679 0.179 0.500
# Mass density (g/cm3): 8.1
# Formation energy from the elements (eV/atom): -0.350
# M_tot (μB/f.u.): 0.000